No. 1
The following is a DFT calculation (PBEsol) of a relaxed K3P2AuSe8 crystal.

Lattice parameters (Å, degrees): 7.081 7.081 18.707 93.23 93.23 120.85
Atoms (fractional coordinates):
1 K 0.075 0.925 0.500
2 K 0.387 0.828 0.293
3 K 0.531 0.740 0.646
4 K 0.740 0.531 0.146
5 K 0.828 0.387 0.793
6 K 0.925 0.075 0.000
7 P 0.103 0.988 0.770
8 P 0.207 0.757 0.017
9 P 0.757 0.207 0.517
10 P 0.988 0.103 0.270
11 Au 0.373 0.483 0.890
12 Au 0.483 0.373 0.390
13 Se 0.055 0.370 0.450
14 Se 0.063 0.773 0.675
15 Se 0.255 0.951 0.118
16 Se 0.313 0.879 0.833
17 Se 0.331 0.355 0.764
18 Se 0.355 0.331 0.264
19 Se 0.370 0.055 0.950
20 Se 0.428 0.613 0.016
21 Se 0.514 0.867 0.476
22 Se 0.613 0.428 0.516
23 Se 0.773 0.063 0.175
24 Se 0.799 0.905 0.816
25 Se 0.867 0.514 0.976
26 Se 0.879 0.313 0.333
27 Se 0.905 0.799 0.316
28 Se 0.951 0.255 0.618

Values from the calculation:
As for the calculated total energy: -4.083 eV per atom. For the calculated volume, the calculation gives 28.57 Å³/atom. The value obtained for the magnetization is 0.000 μB per formula unit.

No. 2
The following is a DFT calculation (PBEsol) of a relaxed KPbAu2 crystal.

Lattice parameters (Å, degrees): 6.519 6.519 6.519 42.52 42.52 42.52
Atoms (fractional coordinates):
1 K 0.000 0.000 0.000
2 Pb 0.197 0.197 0.197
3 Au 0.466 0.466 0.466
4 Au 0.799 0.799 0.799

Values from the calculation:
As for the calculated total energy: -3.398 eV per atom. For the calculated volume, the calculation gives 28.65 Å³/atom. The value obtained for the magnetization is 0.000 μB per formula unit. Its energy relative to the elements is -0.61 eV per formula unit.

No. 3
The following is a DFT calculation (PBEsol) of a relaxed K2PbAu2 crystal.

Lattice parameters (Å, degrees): 7.489 7.489 5.096 90.00 90.00 90.00
Atoms (fractional coordinates):
1 K 0.171 0.329 0.000
2 K 0.329 0.829 0.000
3 K 0.671 0.171 0.000
4 K 0.829 0.671 0.000
5 Pb 0.000 0.000 0.500
6 Pb 0.500 0.500 0.500
7 Au 0.131 0.631 0.500
8 Au 0.369 0.131 0.500
9 Au 0.631 0.869 0.500
10 Au 0.869 0.369 0.500

Values from the calculation:
As for the calculated total energy: -2.963 eV per atom. For the calculated volume, the calculation gives 28.58 Å³/atom. The value obtained for the magnetization is 0.000 μB per formula unit. Its energy relative to the elements is -0.70 eV per formula unit.

No. 4
The following is a DFT calculation (PBEsol) of a relaxed KPb2Au2 crystal.

Lattice parameters (Å, degrees): 6.724 6.724 6.724 136.40 136.40 63.37
Atoms (fractional coordinates):
1 K 0.000 0.000 0.000
2 Pb 0.362 0.362 0.000
3 Pb 0.638 0.638 0.000
4 Au 0.250 0.750 0.500
5 Au 0.750 0.250 0.500

Values from the calculation:
As for the calculated total energy: -3.509 eV per atom. For the calculated volume, the calculation gives 28.54 Å³/atom. The value obtained for the magnetization is 0.000 μB per formula unit. Its energy relative to the elements is -0.57 eV per formula unit.

No. 5
The following is a DFT calculation (PBEsol) of a relaxed KPbAu crystal.

Lattice parameters (Å, degrees): 6.630 6.630 6.630 146.41 146.41 48.24
Atoms (fractional coordinates):
1 K 0.000 0.000 0.000
2 Pb 0.284 0.284 0.000
3 Au 0.702 0.702 0.000

Values from the calculation:
As for the calculated total energy: -3.155 eV per atom. For the calculated volume, the calculation gives 29.61 Å³/atom. The value obtained for the magnetization is 0.000 μB per formula unit. Its energy relative to the elements is -0.41 eV per formula unit.

No. 6
The following is a DFT calculation (PBEsol) of a relaxed KPbAu2 crystal.

Lattice parameters (Å, degrees): 4.884 4.884 6.361 112.62 112.62 59.92
Atoms (fractional coordinates):
1 K 0.000 0.000 0.000
2 Pb 0.500 0.500 0.500
3 Au 0.192 0.192 0.576
4 Au 0.808 0.808 0.424

Values from the calculation:
As for the calculated total energy: -3.339 eV per atom. For the calculated volume, the calculation gives 29.41 Å³/atom. The value obtained for the magnetization is 0.000 μB per formula unit. Its energy relative to the elements is -0.38 eV per formula unit.

No. 7
The following is a DFT calculation (PBEsol) of a relaxed K3PbAu5 crystal.

Lattice parameters (Å, degrees): 10.967 10.967 10.967 150.08 54.78 135.24
Atoms (fractional coordinates):
1 K 0.125 0.875 0.250
2 K 0.206 0.121 0.085
3 K 0.464 0.879 0.585
4 K 0.536 0.121 0.415
5 K 0.794 0.879 0.915
6 K 0.875 0.125 0.750
7 Pb 0.418 0.668 0.750
8 Pb 0.582 0.332 0.250
9 Au 0.000 0.500 0.500
10 Au 0.105 0.462 0.643
11 Au 0.186 0.000 0.686
12 Au 0.186 0.500 0.186
13 Au 0.319 0.462 0.857
14 Au 0.500 0.500 0.000
15 Au 0.681 0.538 0.143
16 Au 0.814 0.000 0.314
17 Au 0.814 0.500 0.814
18 Au 0.895 0.538 0.357

Values from the calculation:
As for the calculated total energy: -3.258 eV per atom. For the calculated volume, the calculation gives 25.58 Å³/atom. The value obtained for the magnetization is 0.000 μB per formula unit. Its energy relative to the elements is -2.30 eV per formula unit.

No. 8
The following is a DFT calculation (PBEsol) of a relaxed KPbAu4 crystal.

Lattice parameters (Å, degrees): 5.628 5.628 5.628 60.00 60.00 60.00
Atoms (fractional coordinates):
1 K 0.000 0.000 0.000
2 Pb 0.250 0.250 0.250
3 Au 0.125 0.625 0.625
4 Au 0.625 0.125 0.625
5 Au 0.625 0.625 0.125
6 Au 0.625 0.625 0.625

Values from the calculation:
As for the calculated total energy: -3.567 eV per atom. For the calculated volume, the calculation gives 21.01 Å³/atom. The value obtained for the magnetization is 0.000 μB per formula unit. Its energy relative to the elements is -0.57 eV per formula unit.

No. 9
The following is a DFT calculation (PBEsol) of a relaxed K4PbAu crystal.

Lattice parameters (Å, degrees): 6.648 6.648 6.648 60.00 60.00 60.00
Atoms (fractional coordinates):
1 K 0.124 0.124 0.124
2 K 0.124 0.124 0.629
3 K 0.124 0.629 0.124
4 K 0.629 0.124 0.124
5 Pb 0.500 0.500 0.500
6 Au 0.750 0.750 0.750

Values from the calculation:
As for the calculated total energy: -1.732 eV per atom. For the calculated volume, the calculation gives 34.62 Å³/atom. The value obtained for the magnetization is 0.000 μB per formula unit. Its energy relative to the elements is 2.07 eV per formula unit.

No. 10
The following is a DFT calculation (PBEsol) of a relaxed K2Pb2Au crystal.

Lattice parameters (Å, degrees): 10.232 10.232 10.232 155.63 155.63 34.73
Atoms (fractional coordinates):
1 K 0.091 0.091 0.000
2 K 0.909 0.909 0.000
3 Pb 0.250 0.750 0.500
4 Pb 0.750 0.250 0.500
5 Au 0.500 0.500 0.000

Values from the calculation:
As for the calculated total energy: -2.827 eV per atom. For the calculated volume, the calculation gives 36.44 Å³/atom. The value obtained for the magnetization is 0.000 μB per formula unit. Its energy relative to the elements is 0.05 eV per formula unit.

No. 11
The following is a DFT calculation (PBEsol) of a relaxed KPbAu crystal.

Lattice parameters (Å, degrees): 4.998 4.998 3.847 90.00 90.00 120.00
Atoms (fractional coordinates):
1 K 0.000 0.000 0.000
2 Pb 0.333 0.667 0.500
3 Au 0.667 0.333 0.500

Values from the calculation:
As for the calculated total energy: -3.129 eV per atom. For the calculated volume, the calculation gives 27.74 Å³/atom. The value obtained for the magnetization is 0.000 μB per formula unit. Its energy relative to the elements is -0.33 eV per formula unit.

No. 12
The following is a DFT calculation (PBEsol) of a relaxed KPt2Au crystal.

Lattice parameters (Å, degrees): 2.816 2.816 9.259 90.00 90.00 90.00
Atoms (fractional coordinates):
1 K 0.000 0.000 0.000
2 Pt 0.000 0.000 0.484
3 Pt 0.500 0.500 0.278
4 Au 0.500 0.500 0.705

Values from the calculation:
The calculation puts the offset from the most stable computed form at 0.000 eV/atom. As for the calculated total energy: -4.574 eV per atom. For the calculated volume, the calculation gives 18.35 Å³/atom. The value obtained for the magnetization is 0.002 μB per formula unit. Its energy relative to the elements is 0.69 eV per formula unit.

No. 13
The following is a DFT calculation (PBEsol) of a relaxed KPtAu2 crystal.

Lattice parameters (Å, degrees): 10.441 10.441 10.441 15.77 15.77 15.77
Atoms (fractional coordinates):
1 K 0.000 0.000 0.000
2 Pt 0.247 0.247 0.247
3 Au 0.505 0.505 0.505
4 Au 0.759 0.759 0.759

Values from the calculation:
As for the calculated total energy: -3.784 eV per atom. For the calculated volume, the calculation gives 18.31 Å³/atom. The value obtained for the magnetization is 0.000 μB per formula unit. Its energy relative to the elements is 0.81 eV per formula unit.

No. 14
The following is a DFT calculation (PBEsol) of a relaxed KPt2Au crystal.

Lattice parameters (Å, degrees): 4.947 4.947 4.947 128.72 128.72 75.45
Atoms (fractional coordinates):
1 K 0.000 0.000 0.000
2 Pt 0.500 0.500 0.000
3 Pt 0.750 0.250 0.500
4 Au 0.250 0.750 0.500

Values from the calculation:
The calculation puts the offset from the most stable computed form at 0.309 eV/atom. As for the calculated total energy: -4.264 eV per atom. For the calculated volume, the calculation gives 17.93 Å³/atom. The value obtained for the magnetization is 0.000 μB per formula unit. Its energy relative to the elements is 1.93 eV per formula unit.

No. 15
The following is a DFT calculation (PBEsol) of a relaxed KRb3Au crystal.

Lattice parameters (Å, degrees): 6.782 6.782 6.782 90.00 90.00 90.00
Atoms (fractional coordinates):
1 K 0.000 0.000 0.000
2 Rb 0.000 0.500 0.500
3 Rb 0.500 0.000 0.500
4 Rb 0.500 0.500 0.000
5 Au 0.500 0.500 0.500

Values from the calculation:
The calculation puts the offset from the most stable computed form at 0.000 eV/atom. As for the calculated total energy: -1.663 eV per atom. For the calculated volume, the calculation gives 62.39 Å³/atom. The value obtained for the magnetization is 0.002 μB per formula unit. Its energy relative to the elements is -0.18 eV per formula unit.

No. 16
The following is a DFT calculation (PBEsol) of a relaxed KRb2Au crystal.

Lattice parameters (Å, degrees): 8.998 8.998 8.998 97.75 97.75 136.91
Atoms (fractional coordinates):
1 K 0.000 0.000 0.000
2 K 0.750 0.250 0.500
3 Rb 0.255 0.125 0.630
4 Rb 0.375 0.745 0.870
5 Rb 0.495 0.625 0.370
6 Rb 0.875 0.505 0.130
7 Au 0.250 0.750 0.500
8 Au 0.500 0.500 0.000

Values from the calculation:
As for the calculated total energy: -1.796 eV per atom. For the calculated volume, the calculation gives 57.87 Å³/atom. The value obtained for the magnetization is 0.000 μB per formula unit. Its energy relative to the elements is -0.08 eV per formula unit.

No. 17
The following is a DFT calculation (PBEsol) of a relaxed K2RbAu2 crystal.

Lattice parameters (Å, degrees): 7.829 7.829 7.829 142.11 142.11 54.67
Atoms (fractional coordinates):
1 K 0.250 0.750 0.500
2 K 0.750 0.250 0.500
3 Rb 0.000 0.000 0.000
4 Au 0.403 0.403 0.000
5 Au 0.597 0.597 0.000

Values from the calculation:
The calculation puts the offset from the most stable computed form at 0.021 eV/atom. As for the calculated total energy: -2.333 eV per atom. For the calculated volume, the calculation gives 35.95 Å³/atom. The value obtained for the magnetization is 0.000 μB per formula unit. Its energy relative to the elements is -0.52 eV per formula unit.

No. 18
The following is a DFT calculation (PBEsol) of a relaxed KRbAu2 crystal.

Lattice parameters (Å, degrees): 5.561 5.561 5.561 60.00 60.00 60.00
Atoms (fractional coordinates):
1 K 0.000 0.000 0.000
2 Rb 0.500 0.500 0.500
3 Au 0.250 0.250 0.250
4 Au 0.750 0.750 0.750

Values from the calculation:
As for the calculated total energy: -2.603 eV per atom. For the calculated volume, the calculation gives 30.40 Å³/atom. The value obtained for the magnetization is 0.000 μB per formula unit. Its energy relative to the elements is -0.41 eV per formula unit.

No. 19
The following is a DFT calculation (PBEsol) of a relaxed KRb3Au crystal.

Lattice parameters (Å, degrees): 7.509 7.509 7.509 90.00 90.00 90.00
Atoms (fractional coordinates):
1 K 0.000 0.000 0.000
2 Rb 0.000 0.000 0.500
3 Rb 0.000 0.500 0.000
4 Rb 0.500 0.000 0.000
5 Au 0.500 0.500 0.500

Values from the calculation:
The calculation puts the offset from the most stable computed form at 0.568 eV/atom. As for the calculated total energy: -1.094 eV per atom. For the calculated volume, the calculation gives 84.69 Å³/atom. The value obtained for the magnetization is 0.001 μB per formula unit. Its energy relative to the elements is 2.66 eV per formula unit.

No. 20
The following is a DFT calculation (PBEsol) of a relaxed K2RbAu2 crystal.

Lattice parameters (Å, degrees): 8.681 8.681 4.623 90.00 90.00 90.00
Atoms (fractional coordinates):
1 K 0.162 0.338 0.000
2 K 0.338 0.838 0.000
3 K 0.662 0.162 0.000
4 K 0.838 0.662 0.000
5 Rb 0.000 0.000 0.500
6 Rb 0.500 0.500 0.500
7 Au 0.115 0.615 0.500
8 Au 0.385 0.115 0.500
9 Au 0.615 0.885 0.500
10 Au 0.885 0.385 0.500

Values from the calculation:
The calculation puts the offset from the most stable computed form at 0.000 eV/atom. As for the calculated total energy: -2.353 eV per atom. For the calculated volume, the calculation gives 34.84 Å³/atom. The value obtained for the magnetization is 0.001 μB per formula unit. Its energy relative to the elements is -0.63 eV per formula unit.